1.
Material: Mg3H4Rh
Method: DFT, PBE-GGA
State: optimized geometry

abc: 5.1204 6.0203 5.7697
angles: 90.00 90.00 90.00
Closest atoms and distances in Å follow each position.
Element x y z (fractional)
H1 0.0543 0.9402 0.0000  1 Rh 1.80
H2 0.1108 0.2892 0.2864  1 Rh 1.71
H3 0.6108 0.7108 0.7864  1 Rh 1.71
H4 0.1108 0.2892 0.7136  1 Rh 1.71
H5 0.5543 0.0598 0.5000  1 Rh 1.80
H6 0.2182 0.8005 0.5000  1 Rh 1.72
H7 0.7182 0.1995 0.0000  1 Rh 1.72
H8 0.6108 0.7108 0.2136  1 Rh 1.71
Rh1 0.5515 0.7602 0.5000  4 H 1.71-1.80
Rh2 0.0515 0.2398 0.0000  4 H 1.71-1.80
Mg1 0.5098 0.3640 0.7468  3 H 2.06-2.16
Mg2 0.0098 0.6360 0.7532  3 H 2.06-2.16
Mg3 0.9501 0.0740 0.5000  4 H 1.97-2.14
Mg4 0.5098 0.3640 0.2532  3 H 2.06-2.16
Mg5 0.0098 0.6360 0.2468  3 H 2.06-2.16
Mg6 0.4501 0.9260 0.0000  4 H 1.97-2.14

Calculated total energy in eV/atom: -3.39
SG: No. 31
Spin magnetization in μB/atom: 0.000
Volume in Å³ per cell: 178



2.
Material: Mg2HRh
Method: DFT, PBE-GGA
State: optimized geometry

abc: 2.9967 2.9967 6.4751
angles: 90.00 90.00 90.00
Closest atoms and distances in Å follow each position.
Element x y z (fractional)
Mg1 0.0000 0.0000 0.2497  4 Rh 2.67, 4 H 2.67
Mg2 0.0000 0.0000 0.7503  4 Rh 2.67, 4 H 2.67
H1 0.5000 0.5000 0.5000  8 Mg 2.67
Rh1 0.5000 0.5000 0.0000  8 Mg 2.67

Calculated total energy in eV/atom: -3.58
SG: No. 123
Spin magnetization in μB/atom: 0.000
Volume in Å³ per cell: 58
Relative energy among the computed polymorphs in meV per atom: 262



3.
Material: MgHRh2
Method: DFT, PBE-GGA
State: optimized geometry

abc: 2.8579 2.8579 6.8874
angles: 78.03 78.03 60.00
Closest atoms and distances in Å follow each position.
Element x y z (fractional)
Mg1 0.5000 0.5000 0.5000  6 Rh 2.73, 6 Mg 2.86
Rh1 0.7248 0.7248 0.8257  3 H 2.02
Rh2 0.2752 0.2752 0.1743  3 H 2.02
H1 0.0000 0.0000 0.0000  6 Rh 2.02

Calculated total energy in eV/atom: -5.07
SG: No. 166
Spin magnetization in μB/atom: 0.056
Volume in Å³ per cell: 47
Relative energy among the computed polymorphs in meV per atom: 0



4.
Material: MgHRh3
Method: DFT, PBE-GGA
State: optimized geometry

abc: 7.3714 7.3714 7.3714
angles: 60.00 60.00 60.00
Closest atoms and distances in Å follow each position.
Element x y z (fractional)
Mg1 0.6250 0.1250 0.6250  6 Rh 2.70
Mg2 0.6250 0.6250 0.6250  6 Rh 2.70
Mg3 0.1250 0.6250 0.6250  6 Rh 2.70
Mg4 0.6250 0.6250 0.1250  6 Rh 2.70
H1 0.1250 0.1250 0.6250  6 Rh 1.95
H2 0.1250 0.1250 0.1250  6 Rh 1.95
H3 0.1250 0.6250 0.1250  6 Rh 1.95
H4 0.6250 0.1250 0.1250  6 Rh 1.95
Rh1 0.4359 0.0641 0.4359  2 H 1.95
Rh2 0.4359 0.4359 0.0641  2 H 1.95
Rh3 0.8141 0.1859 0.8141  2 H 1.95
Rh4 0.8141 0.8141 0.1859  2 H 1.95
Rh5 0.8141 0.1859 0.1859  2 H 1.95
Rh6 0.1859 0.1859 0.8141  2 H 1.95
Rh7 0.0641 0.4359 0.4359  2 H 1.95
Rh8 0.0641 0.0641 0.4359  2 H 1.95
Rh9 0.1859 0.8141 0.8141  2 H 1.95
Rh10 0.0641 0.4359 0.0641  2 H 1.95
Rh11 0.4359 0.0641 0.0641  2 H 1.95
Rh12 0.1859 0.8141 0.1859  2 H 1.95

Calculated total energy in eV/atom: -5.35
SG: No. 227
Spin magnetization in μB/atom: 0.000
Volume in Å³ per cell: 283
Relative energy among the computed polymorphs in meV per atom: 301



5.
Material: MgHRh3
Method: DFT, PBE-GGA
State: optimized geometry

abc: 7.3210 7.3210 7.3210
angles: 38.22 38.22 38.22
Closest atoms and distances in Å follow each position.
Element x y z (fractional)
Rh1 0.7759 0.4356 0.1157  2 H 1.90-2.09
Rh2 0.5644 0.8843 0.2241  2 H 1.90-2.09
Rh3 0.4356 0.1157 0.7759  2 H 1.90-2.09
Rh4 0.2241 0.5644 0.8843  2 H 1.90-2.09
Rh5 0.8843 0.2241 0.5644  2 H 1.90-2.09
Rh6 0.1157 0.7759 0.4356  2 H 1.90-2.09
Mg1 0.6675 0.6675 0.6675  6 Rh 2.74, 3 Mg 2.77
Mg2 0.3325 0.3325 0.3325  6 Rh 2.74, 3 Mg 2.77
H1 0.1760 0.1760 0.1760  6 Rh 1.90-2.09
H2 0.8240 0.8240 0.8240  6 Rh 1.90-2.09

Calculated total energy in eV/atom: -5.34
SG: No. 148
Spin magnetization in μB/atom: 0.077
Volume in Å³ per cell: 135
Relative energy among the computed polymorphs in meV per atom: 312



6.
Material: MgHRh3
Method: DFT, PBE-GGA
State: optimized geometry

abc: 5.2211 5.2211 6.1856
angles: 65.04 65.04 90.00
Closest atoms and distances in Å follow each position.
Element x y z (fractional)
Mg1 0.9006 0.4006 0.1988  8 Rh 2.62-2.93, 2 H 2.79
Mg2 0.5994 0.0994 0.8012  8 Rh 2.62-2.93, 2 H 2.79
Rh1 0.6261 0.6261 0.7479  3 Rh 2.50-2.70, 2 Mg 2.62
Rh2 0.1107 0.8659 0.2681  2 H 1.76-1.85
Rh3 0.1341 0.3788 0.7319  2 H 1.76-1.85
Rh4 0.1341 0.8893 0.7319  2 H 1.76-1.85
Rh5 0.3739 0.3739 0.2521  3 Rh 2.50-2.70, 2 Mg 2.62
Rh6 0.6212 0.8659 0.2681  2 H 1.76-1.85
H1 0.2500 0.7500 0.5000  4 Rh 1.76
H2 0.0000 0.0000 0.0000  4 Rh 1.85

Calculated total energy in eV/atom: -5.32
SG: No. 119
Spin magnetization in μB/atom: 0.231
Volume in Å³ per cell: 135
Relative energy among the computed polymorphs in meV per atom: 330